[1]
Entry from Alexandria via LeMat-Bulk: a relaxed ErPaTc crystal (PBE).

```
ErPaTc
1.0
-2.0133 -2.2223 -1.3565
2.1084 -3.4494 2.5218
-3.7601 2.3081 1.7993
Pa Er Tc
1 1 1
Cartesian
-0.4002 -2.1400 1.9088
-3.1772 -1.1269 1.1149
-0.0876 -0.0967 -0.0590
```

## Properties
Volume (Å³ per cell): 64.7
E_tot (eV/cell): -24.3
Energy relative to the lowest polymorph listed for this composition (meV/atom): 213

---

[2]
Entry from Alexandria via LeMat-Bulk: a relaxed Mg3Al18W2 crystal (PBE).

```
Mg3Al18W2
1.0
-1.4867 8.9736 -5.0123
-5.7742 7.4698 4.3266
4.5032 8.6924 3.4672
Al Mg W
36 6 4
Cartesian
-1.2253 9.9635 -0.4788
-1.8295 19.0887 5.2781
-3.4667 17.2700 -0.3312
-0.3090 17.1218 4.1388
-3.7990 21.5304 1.7228
-2.3543 9.5675 1.9804
0.3520 9.8894 1.7541
-2.3745 7.3942 0.1005
2.8181 9.8027 2.8723
-1.0927 21.8524 1.4965
-0.6585 7.3137 2.5297
-1.3019 15.1325 5.9594
-1.9486 4.8234 1.5365
-0.7551 17.5926 -0.5580
-2.2217 21.4564 3.9557
-4.2693 13.9013 1.8021
0.5698 7.7445 -0.1457
-2.6920 13.8273 4.0349
-4.5957 16.8740 2.1279
0.0196 14.1499 3.8081
-3.1381 14.2981 -0.6619
-3.0153 16.7998 4.3651
0.9957 5.1737 1.2902
1.7573 16.2055 -0.7040
1.1486 14.5458 1.3490
-1.4558 10.0033 -3.1779
-1.6176 12.3311 -1.8012
-0.4318 14.6200 -0.8882
-4.9872 19.2370 0.8081
-5.5758 15.3332 -0.0908
-3.8778 11.5383 3.1219
1.5401 12.1829 2.6688
-0.7203 5.2543 -1.1390
0.4307 19.8815 0.3550
-4.5150 8.9303 3.4856
0.8222 17.5185 1.6748
1.1636 11.9750 -0.4249
-2.0683 18.8519 2.0861
-0.9802 11.2231 4.2446
-1.3788 12.5679 1.3908
-3.9752 11.3637 0.0049
-1.7235 15.7099 1.7385
-0.3447 3.1420 0.3477
-1.0881 7.6288 -2.1584
-3.2318 6.8769 2.5110
1.9069 7.4882 2.0813
```

## Properties
Volume (Å³ per cell): 792.1
E_tot (eV/cell): -201.0

---

[3]
Entry from Alexandria via LeMat-Bulk: a relaxed Cu2Ag2Mo crystal (PBE).

```
Cu2Ag2Mo
1.0
-2.9372 2.2560 0.4664
-0.5091 -1.3728 3.4338
1.8758 4.6676 4.1731
Mo Ag Cu
1 2 2
Cartesian
0.0000 0.0000 0.0000
-0.1782 1.8682 4.7785
-1.3923 3.6826 3.2949
-0.5264 4.3119 5.7038
-1.0441 1.2390 2.3695
```

## Properties
Volume (Å³ per cell): 83.3
E_tot (eV/cell): -21.1
Energy relative to the lowest polymorph listed for this composition (meV/atom): 240

---

[4]
Entry from Alexandria via LeMat-Bulk: a relaxed Mn2NbZnAu crystal (PBE).

```
Mn2NbZnAu
1.0
-3.4487 -2.4388 -2.5035
3.5667 -2.9691 -2.0209
-0.4948 -3.1410 3.7414
Au Mn Zn Nb
1 2 1 1
Cartesian
0.0000 0.0000 0.0000
-0.2474 -1.5705 1.8707
-1.7243 -1.2194 -1.2517
-0.1884 -4.2744 -0.3915
1.7834 -1.4845 -1.0105
```

## Properties
Volume (Å³ per cell): 122.0
E_tot (eV/cell): -27.0

---

Number 1: ΔE_f 5 kJ/mol of atoms. Number 2: ΔE_f -10 kJ/mol of atoms. Number 3: ΔE_f 70 kJ/mol of atoms. Number 4: ΔE_f 115 kJ/mol of atoms.